[1]
## ZrSeN3 (GGA-PBE)

Data for a geometry-optimized ZrSeN3 structure.

Output
Calculated volume: 54 Å³/cell

a b c (Å): 3.775 3.775 3.775
angles (deg): 90.00 90.00 90.00
Space group Pm-3m (No. 221)
Inequivalent atoms, fractional coordinates:
Zr 0.000 0.000 0.000 x1
Se 0.500 0.500 0.500 x1
N 0.000 0.500 0.500 x3


[2]
## Si2N3 (GGA-PBE)

Data for a geometry-optimized Si2N3 structure.

Output
Calculated volume: 256 Å³/cell

a b c (Å): 9.225 5.635 4.918
angles (deg): 90.00 90.00 90.00
Space group Cmc2_1 (No. 36)
Inequivalent atoms, fractional coordinates:
Si 0.180 0.143 0.000 x8
N 0.000 0.171 0.946 x4
N 0.232 0.122 0.341 x8


[3]
## Si23N (GGA-PBE)

Data for a geometry-optimized Si23N structure.

Output
Calculated volume: 1069 Å³/cell

a b c (Å): 10.224 10.224 10.224
angles (deg): 90.00 90.00 90.00
Space group Pm-3n (No. 223)
Inequivalent atoms, fractional coordinates:
Si 0.000 0.117 0.308 x24
Si 0.000 0.250 0.500 x6
Si 0.183 0.183 0.183 x16
N 0.000 0.000 0.000 x2


[4]
## Si4N (GGA-PBE)

Data for a geometry-optimized Si4N structure.

Output
Calculated volume: 66 Å³/cell

a b c (Å): 4.036 4.036 4.036
angles (deg): 90.00 90.00 90.00
Space group Pm-3m (No. 221)
Inequivalent atoms, fractional coordinates:
Si 0.000 0.000 0.000 x1
Si 0.000 0.500 0.500 x3
N 0.500 0.500 0.500 x1


[5]
## Si3N2 (GGA-PBE)

Data for a geometry-optimized Si3N2 structure.

Output
Calculated volume: 301 Å³/cell

a b c (Å): 6.700 6.700 6.700
angles (deg): 90.00 90.00 90.00
Space group Pm-3m (No. 221)
Inequivalent atoms, fractional coordinates:
Si 0.000 0.322 0.322 x12
N 0.222 0.222 0.222 x8


[6]
## Sm3Si6N11 (GGA-PBE)

Data for a geometry-optimized Sm3Si6N11 structure.

Output
Calculated volume: 496 Å³/cell

a b c (Å): 10.069 10.069 4.893
angles (deg): 90.00 90.00 90.00
Space group P4bm (No. 100)
Inequivalent atoms, fractional coordinates:
Sm 0.000 0.000 0.000 x2
Sm 0.182 0.318 0.013 x4
Si 0.080 0.792 0.551 x8
Si 0.118 0.618 0.062 x4
N 0.000 0.500 0.090 x2
N 0.078 0.773 0.197 x8
N 0.079 0.180 0.667 x8
N 0.154 0.654 0.716 x4


[7]
## Sm4Si2N (GGA-PBE)

Data for a geometry-optimized Sm4Si2N structure.

Output
Excess energy over the best structure of this formula in the dataset: 0 meV/atom
Calculated volume: 319 Å³/cell

a b c (Å): 12.000 3.939 8.306
angles (deg): 90.00 125.57 90.00
Space group C2/m (No. 12)
Inequivalent atoms, fractional coordinates:
Sm 0.081 0.000 0.346 x4
Sm 0.160 0.500 0.078 x4
Si 0.110 0.500 0.659 x4
N 0.000 0.000 0.000 x2


[8]
## Sm2SiN3 (GGA-PBE)

Data for a geometry-optimized Sm2SiN3 structure.

Output
Excess energy over the best structure of this formula in the dataset: 213 meV/atom
Calculated volume: 384 Å³/cell

a b c (Å): 10.912 6.451 6.739
angles (deg): 90.00 125.96 90.00
Space group C2/c (No. 15)
Inequivalent atoms, fractional coordinates:
Sm 0.169 0.103 0.238 x8
Si 0.000 0.406 0.750 x4
N 0.000 0.138 0.750 x4
N 0.153 0.460 0.313 x8


Number 1: magnetic moment 0.000 μB per atom, E_form (uncorrected) 773 meV/atom. Number 2: magnetic moment 0.196 μB per atom, E_form (uncorrected) -658 meV/atom. Number 3: magnetic moment 0.126 μB per atom, E_form (uncorrected) 260 meV/atom. Number 4: magnetic moment 0.000 μB per atom, E_form (uncorrected) 713 meV/atom. Number 5: magnetic moment 0.000 μB per atom, E_form (uncorrected) -520 meV/atom. Number 6: magnetic moment 0.000 μB per atom, E_form (uncorrected) -1312 meV/atom. Number 7: magnetic moment 0.000 μB per atom, E_form (uncorrected) -823 meV/atom. Number 8: magnetic moment 0.000 μB per atom, E_form (uncorrected) -1091 meV/atom.